No. 1
This record from Alexandria via LeMat-Bulk describes crystalline TaMo2H at its relaxed geometry. The functional is GGA-PBE.

Summary:
Crystal system   tetragonal
SG   I4_1/amd (141)
Magnetic moment   0.000 Bohr magnetons per cell
DFT total energy   -8.794 eV per atom
V   57.3 Å³/f.u.
ΔE to the lowest computed polymorph   0 meV/atom

a b c (Å): 5.4546 5.4546 5.4546
angles (deg): 120.07 120.07 89.88
Fractional coordinates of all 8 atoms:
Ta 0.3750 0.6250 0.7500
Ta 0.6250 0.3750 0.2500
Mo 0.0000 0.0000 0.0000
Mo 0.0000 0.0000 0.5000
Mo 0.0000 0.5000 0.0000
Mo 0.5000 0.0000 0.5000
H 0.1250 0.8750 0.2500
H 0.8750 0.1250 0.7500

---

No. 2
This record from Alexandria via LeMat-Bulk describes crystalline Mn2InMo at its relaxed geometry. The functional is GGA-PBE.

Summary:
Crystal system   cubic
SG   F-43m (216)
Magnetic moment   5.011 Bohr magnetons per cell
DFT total energy   -7.636 eV per atom
V   63.1 Å³/f.u.
ΔH_f (0 K)   32.9 kJ/mol of atoms

a b c (Å): 4.4685 4.4685 4.4685
angles (deg): 60.00 60.00 60.00
Fractional coordinates of all 4 atoms:
Mn 0.0000 0.0000 0.0000
Mn 0.2500 0.2500 0.2500
In 0.5000 0.5000 0.5000
Mo 0.7500 0.7500 0.7500